# Er12H5Rh3

Er12H5Rh3 after structural relaxation (PBE, the Alexandria database).

Structure (POSCAR):
```
Er12H5Rh3
1.0
-7.4516 7.4516 7.4516
7.4516 -7.4516 7.4516
7.4516 7.4516 -7.4516
Er H Rh
48 20 12
Direct
0.0258 0.2160 0.1204
0.0258 0.3098 0.9054
0.0946 0.6204 0.4044
0.0946 0.9742 0.6902
0.0956 0.7160 0.6902
0.0956 0.8796 0.4054
0.1204 0.0258 0.2160
0.1204 0.5946 0.9044
0.1902 0.2160 0.5956
0.1902 0.4742 0.5946
0.2160 0.1204 0.0258
0.2160 0.5956 0.1902
0.2840 0.3098 0.9044
0.2840 0.4742 0.3796
0.3098 0.9044 0.2840
0.3098 0.9054 0.0258
0.3796 0.2840 0.4742
0.3796 0.5956 0.9054
0.4044 0.0946 0.6204
0.4044 0.8098 0.7840
0.4054 0.0956 0.8796
0.4054 0.8098 0.5258
0.4742 0.3796 0.2840
0.4742 0.5946 0.1902
0.5258 0.4054 0.8098
0.5258 0.6204 0.7160
0.5946 0.1902 0.4742
0.5946 0.9044 0.1204
0.5956 0.1902 0.2160
0.5956 0.9054 0.3796
0.6204 0.4044 0.0946
0.6204 0.7160 0.5258
0.6902 0.0946 0.9742
0.6902 0.0956 0.7160
0.7160 0.5258 0.6204
0.7160 0.6902 0.0956
0.7840 0.4044 0.8098
0.7840 0.8796 0.9742
0.8098 0.5258 0.4054
0.8098 0.7840 0.4044
0.8796 0.4054 0.0956
0.8796 0.9742 0.7840
0.9044 0.1204 0.5946
0.9044 0.2840 0.3098
0.9054 0.0258 0.3098
0.9054 0.3796 0.5956
0.9742 0.6902 0.0946
0.9742 0.7840 0.8796
0.0000 0.0000 0.0000
0.0000 0.0000 0.5000
0.0000 0.5000 0.0000
0.0000 0.5000 0.5000
0.1250 0.7500 0.8750
0.1250 0.8750 0.2500
0.2500 0.1250 0.8750
0.2500 0.6250 0.3750
0.3750 0.2500 0.6250
0.3750 0.6250 0.7500
0.5000 0.0000 0.0000
0.5000 0.0000 0.5000
0.5000 0.5000 0.0000
0.5000 0.5000 0.5000
0.6250 0.3750 0.2500
0.6250 0.7500 0.3750
0.7500 0.3750 0.6250
0.7500 0.8750 0.1250
0.8750 0.1250 0.7500
0.8750 0.2500 0.1250
0.1250 0.2500 0.3750
0.1250 0.3750 0.7500
0.2500 0.3750 0.1250
0.2500 0.8750 0.6250
0.3750 0.1250 0.2500
0.3750 0.7500 0.1250
0.6250 0.2500 0.8750
0.6250 0.8750 0.7500
0.7500 0.1250 0.3750
0.7500 0.6250 0.8750
0.8750 0.6250 0.2500
0.8750 0.7500 0.6250
```

## Properties
* total magnetic moment: 0.0 μB/f.u.
* uncorrected energy: -5.135 eV per atom
* symmetry: Ia-3d (230)

***

# ErH12Rh7

ErH12Rh7 after structural relaxation (PBE, the Alexandria database).

Structure (POSCAR):
```
ErH12Rh7
1.0
3.9042 2.2541 3.2032
-3.9042 2.2541 3.2032
0.0000 -4.5082 3.2032
Er H Rh
1 12 7
Direct
0.0000 0.0000 0.0000
0.0627 0.8444 0.3808
0.1556 0.6192 0.9373
0.1878 0.4167 0.5507
0.3808 0.0627 0.8444
0.4167 0.5507 0.1878
0.4493 0.8122 0.5833
0.5507 0.1878 0.4167
0.5833 0.4493 0.8122
0.6192 0.9373 0.1556
0.8122 0.5833 0.4493
0.8444 0.3808 0.0627
0.9373 0.1556 0.6192
0.0723 0.5305 0.2466
0.2466 0.0723 0.5305
0.4695 0.7534 0.9277
0.5000 0.5000 0.5000
0.5305 0.2466 0.0723
0.7534 0.9277 0.4695
0.9277 0.4695 0.7534
```

## Properties
* total magnetic moment: 0.0 μB/f.u.
* uncorrected energy: -4.902 eV per atom
* symmetry: R-3 (148)

***

# ErHRh3

ErHRh3 after structural relaxation (PBE, the Alexandria database).

Structure (POSCAR):
```
ErHRh3
1.0
4.0647 0.0000 0.0000
0.0000 4.0647 0.0000
0.0000 0.0000 4.0647
Er H Rh
1 1 3
Direct
0.0000 0.0000 0.0000
0.5000 0.5000 0.5000
0.0000 0.5000 0.5000
0.5000 0.0000 0.5000
0.5000 0.5000 0.0000
```

## Properties
* total magnetic moment: 0.0 μB/f.u.
* uncorrected energy: -6.540 eV per atom
* symmetry: Pm-3m (221)

***

# ErH12Rh6

ErH12Rh6 after structural relaxation (PBE, the Alexandria database).

Structure (POSCAR):
```
ErH12Rh6
1.0
4.2222 2.4377 2.4193
-4.2222 2.4377 2.4193
0.0000 -4.8754 2.4193
Er H Rh
1 12 6
Direct
0.0000 0.0000 0.0000
0.0429 0.3649 0.8678
0.1322 0.9571 0.6351
0.1801 0.5706 0.4511
0.3649 0.8678 0.0429
0.4294 0.5489 0.8199
0.4511 0.1801 0.5706
0.5489 0.8199 0.4294
0.5706 0.4511 0.1801
0.6351 0.1322 0.9571
0.8199 0.4294 0.5489
0.8678 0.0429 0.3649
0.9571 0.6351 0.1322
0.1605 0.2771 0.5790
0.2771 0.5790 0.1605
0.4210 0.8395 0.7229
0.5790 0.1605 0.2771
0.7229 0.4210 0.8395
0.8395 0.7229 0.4210
```

## Properties
* total magnetic moment: 0.0 μB/f.u.
* uncorrected energy: -4.852 eV per atom
* symmetry: R-3 (148)

***

# ErH8Rh6

ErH8Rh6 after structural relaxation (PBE, the Alexandria database).

Structure (POSCAR):
```
ErH8Rh6
1.0
3.9580 2.2852 2.4423
-3.9580 2.2852 2.4423
0.0000 -4.5703 2.4423
Er H Rh
1 8 6
Direct
0.0000 0.0000 0.0000
0.1718 0.7951 0.6263
0.2049 0.3737 0.8282
0.3154 0.3154 0.3154
0.3737 0.8282 0.2049
0.6263 0.1718 0.7951
0.6846 0.6846 0.6846
0.7951 0.6263 0.1718
0.8282 0.2049 0.3737
0.1342 0.5833 0.2957
0.2957 0.1342 0.5833
0.4167 0.7043 0.8658
0.5833 0.2957 0.1342
0.7043 0.8658 0.4167
0.8658 0.4167 0.7043
```

## Properties
* total magnetic moment: 0.0 μB/f.u.
* uncorrected energy: -5.223 eV per atom
* symmetry: R-3 (148)

***

# Er2SbHRh6

Er2SbHRh6 after structural relaxation (PBE, the Alexandria database).

Structure (POSCAR):
```
Er2SbHRh6
1.0
4.6956 -2.8715 0.0000
4.6956 2.8715 0.0000
-3.1288 0.0000 6.1186
Er Sb H Rh
2 1 1 6
Direct
0.2447 0.2447 0.1850
0.7553 0.7553 0.8150
0.5000 0.5000 0.0000
0.0000 0.0000 0.5000
0.1860 0.6746 0.6432
0.2050 0.2050 0.7296
0.3254 0.8140 0.3568
0.6746 0.1860 0.6432
0.7950 0.7950 0.2704
0.8140 0.3254 0.3568
```

## Properties
* total magnetic moment: 0.0 μB/f.u.
* uncorrected energy: -6.583 eV per atom
* symmetry: C2/m (12)

***

# ErSiHRh2

ErSiHRh2 after structural relaxation (PBE, the Alexandria database).

Structure (POSCAR):
```
ErSiHRh2
1.0
1.8211 -5.3790 0.0000
1.8211 5.3790 0.0000
0.0000 0.0000 7.1841
Er Si H Rh
2 2 2 4
Direct
0.0501 0.9499 0.7500
0.9499 0.0501 0.2500
0.2287 0.7713 0.2500
0.7713 0.2287 0.7500
0.5000 0.5000 0.0000
0.5000 0.5000 0.5000
0.3447 0.6553 0.5530
0.3447 0.6553 0.9470
0.6553 0.3447 0.0530
0.6553 0.3447 0.4470
```

## Properties
* total magnetic moment: 0.0 μB/f.u.
* uncorrected energy: -6.485 eV per atom
* symmetry: Cmcm (63)

***

# SrErH8Rh2

SrErH8Rh2 after structural relaxation (PBE, the Alexandria database).

Structure (POSCAR):
```
SrErH8Rh2
1.0
2.5484 1.4713 5.7687
-2.5484 1.4713 5.7687
0.0000 -2.9426 5.7687
Sr Er H Rh
1 1 8 2
Direct
0.0000 0.0000 0.0000
0.5000 0.5000 0.5000
0.0715 0.4021 0.8830
0.1170 0.9285 0.5979
0.2942 0.2942 0.2942
0.4021 0.8830 0.0715
0.5979 0.1170 0.9285
0.7058 0.7058 0.7058
0.8830 0.0715 0.4021
0.9285 0.5979 0.1170
0.1926 0.1926 0.1926
0.8074 0.8074 0.8074
```

## Properties
* total magnetic moment: 0.0 μB/f.u.
* uncorrected energy: -4.294 eV per atom
* symmetry: R-3 (148)